# 1
DFT (GGA-PBEsol) results for a relaxed structure of CdOs2Rh.

Results
density	16288	kg/m³
Fermi-level density of states	1.2571	states/eV per atom
energy of formation from the pure elements	0.60	eV per atom

Cell lengths 2.736, 4.722, 4.711 Å; angles 90.00, 93.59, 90.00 degrees
Sites, in units of the cell vectors:
Cd  0.000  0.000  0.000
Os  0.296  0.500  0.743
Os  0.704  0.500  0.257
Rh  0.500  0.000  0.500

---

# 2
DFT (GGA-PBEsol) results for a relaxed structure of LaTc3Hg.

Results
density	8794	kg/m³
Fermi-level density of states	2.0264	states/eV per atom
energy of formation from the pure elements	1.97	eV per atom

Cell lengths 4.927, 4.927, 4.927 Å; angles 90.00, 90.00, 90.00 degrees
Sites, in units of the cell vectors:
La  0.000  0.000  0.000
Tc  0.000  0.500  0.500
Tc  0.500  0.000  0.500
Tc  0.500  0.500  0.000
Hg  0.500  0.500  0.500

---

# 3
DFT (GGA-PBEsol) results for a relaxed structure of ZnCu2SnS4.

Results
energy relative to the elements, uncorrected	-3.801	eV per formula unit
density	4708	kg/m³
Fermi-level density of states	0.0286	states/eV per atom

Cell lengths 5.372, 5.372, 10.742 Å; angles 90.00, 90.00, 90.00 degrees
Sites, in units of the cell vectors:
Zn  0.000  0.000  0.000
Zn  0.500  0.500  0.500
Cu  0.000  0.000  0.500
Cu  0.000  0.500  0.250
Cu  0.500  0.000  0.750
Cu  0.500  0.500  0.000
Sn  0.000  0.500  0.750
Sn  0.500  0.000  0.250
S  0.232  0.741  0.380
S  0.241  0.268  0.120
S  0.259  0.232  0.620
S  0.268  0.759  0.880
S  0.732  0.241  0.880
S  0.741  0.768  0.620
S  0.759  0.732  0.120
S  0.768  0.259  0.380

---

# 4
DFT (GGA-PBEsol) results for a relaxed structure of MgInCl2.

Results
energy relative to the elements, uncorrected	-4.799	eV per formula unit
density	3184	kg/m³
Fermi-level density of states	0.2449	states/eV per atom

Cell lengths 6.034, 3.486, 10.647 Å; angles 90.00, 101.99, 90.00 degrees
Sites, in units of the cell vectors:
Mg  0.000  0.000  0.000
Mg  0.500  0.500  0.000
In  0.000  0.500  0.500
In  0.500  0.000  0.500
Cl  0.116  0.500  0.863
Cl  0.384  0.000  0.137
Cl  0.616  0.000  0.863
Cl  0.884  0.500  0.137

---

# 5
DFT (GGA-PBEsol) results for a relaxed structure of Na3Li5Mn5O9.

Results
energy relative to the elements, uncorrected	-30.642	eV per formula unit
density	3479	kg/m³
Fermi-level density of states	0.0512	states/eV per atom

Cell lengths 5.753, 5.767, 8.822 Å; angles 78.34, 83.08, 60.45 degrees
Sites, in units of the cell vectors:
Na  0.000  0.000  0.000
Na  0.313  0.310  0.992
Na  0.651  0.656  0.005
Li  0.295  0.151  0.597
Li  0.316  0.936  0.219
Li  0.636  0.263  0.204
Li  0.939  0.456  0.744
Li  0.991  0.595  0.197
Mn  0.301  0.556  0.418
Mn  0.338  0.705  0.744
Mn  0.676  0.834  0.420
Mn  0.696  0.056  0.745
Mn  0.945  0.212  0.415
O  0.302  0.869  0.500
O  0.316  0.608  0.191
O  0.345  0.029  0.810
O  0.614  0.175  0.505
O  0.654  0.927  0.193
O  0.656  0.371  0.835
O  0.980  0.268  0.188
O  0.993  0.482  0.513
O  0.997  0.707  0.837

---

# 6
DFT (GGA-PBEsol) results for a relaxed structure of Sc2TiCoSe.

Results
energy relative to the elements, uncorrected	-1.318	eV per formula unit
density	4601	kg/m³
Fermi-level density of states	0.8713	states/eV per atom

Cell lengths 4.852, 4.852, 4.227 Å; angles 90.00, 90.00, 90.00 degrees
Sites, in units of the cell vectors:
Sc  0.000  0.500  0.000
Sc  0.500  0.000  0.000
Ti  0.000  0.000  0.500
Co  0.000  0.000  0.000
Se  0.500  0.500  0.500

---

# 7
DFT (GGA-PBEsol) results for a relaxed structure of LiAl2.

Results
density	2092	kg/m³
Fermi-level density of states	0.3560	states/eV per atom
energy of formation from the pure elements	-0.06	eV per atom

Cell lengths 10.493, 2.828, 6.743 Å; angles 90.00, 104.90, 90.00 degrees
Sites, in units of the cell vectors:
Li  0.000  0.000  0.000
Li  0.171  0.500  0.345
Li  0.500  0.500  0.000
Li  0.671  0.000  0.345
Al  0.112  0.500  0.724
Al  0.278  0.000  0.058
Al  0.337  0.000  0.674
Al  0.443  0.500  0.390
Al  0.612  0.000  0.724
Al  0.778  0.500  0.058
Al  0.837  0.500  0.674
Al  0.943  0.000  0.390

---

# 8
DFT (GGA-PBEsol) results for a relaxed structure of MgFeOs3.

Results
density	12774	kg/m³
Fermi-level density of states	0.8241	states/eV per atom
energy of formation from the pure elements	1.54	eV per atom

Cell lengths 4.390, 4.390, 4.390 Å; angles 90.00, 90.00, 90.00 degrees
Sites, in units of the cell vectors:
Mg  0.000  0.000  0.000
Fe  0.500  0.500  0.500
Os  0.000  0.500  0.500
Os  0.500  0.000  0.500
Os  0.500  0.500  0.000

---

# 9
DFT (GGA-PBEsol) results for a relaxed structure of CaEu3.

Results
density	5227	kg/m³
Fermi-level density of states	3.4789	states/eV per atom
energy of formation from the pure elements	0.03	eV per atom

Cell lengths 5.296, 5.296, 11.235 Å; angles 90.00, 90.00, 90.00 degrees
Sites, in units of the cell vectors:
Ca  0.000  0.000  0.000
Ca  0.500  0.500  0.500
Eu  0.000  0.000  0.500
Eu  0.000  0.500  0.250
Eu  0.000  0.500  0.750
Eu  0.500  0.000  0.250
Eu  0.500  0.000  0.750
Eu  0.500  0.500  0.000

---

# 10
DFT (GGA-PBEsol) results for a relaxed structure of LiYF4.

Results
energy relative to the elements, uncorrected	-22.706	eV per formula unit
density	4101	kg/m³
Fermi-level density of states	0.0000	states/eV per atom

Cell lengths 5.029, 5.261, 5.260 Å; angles 90.00, 90.08, 90.00 degrees
Sites, in units of the cell vectors:
Li  0.000  0.249  0.250
Li  0.000  0.751  0.750
Y  0.500  0.250  0.750
Y  0.500  0.750  0.250
F  0.262  0.064  0.064
F  0.262  0.435  0.435
F  0.262  0.565  0.935
F  0.262  0.936  0.564
F  0.738  0.064  0.436
F  0.738  0.435  0.065
F  0.738  0.565  0.565
F  0.738  0.936  0.936

---

# 11
DFT (GGA-PBEsol) results for a relaxed structure of NaBi.

Results
density	6895	kg/m³
Fermi-level density of states	0.3603	states/eV per atom
energy of formation from the pure elements	-0.32	eV per atom

Cell lengths 3.391, 3.391, 4.859 Å; angles 90.00, 90.00, 90.00 degrees
Sites, in units of the cell vectors:
Na  0.000  0.000  0.000
Bi  0.500  0.500  0.500

---

# 12
DFT (GGA-PBEsol) results for a relaxed structure of ScCd2In.

Results
density	7666	kg/m³
Fermi-level density of states	0.6829	states/eV per atom
energy of formation from the pure elements	-0.32	eV per atom

Cell lengths 4.332, 4.332, 4.439 Å; angles 90.00, 90.00, 90.00 degrees
Sites, in units of the cell vectors:
Sc  0.000  0.000  0.000
Cd  0.000  0.500  0.500
Cd  0.500  0.000  0.500
In  0.500  0.500  0.000

---

Which of these has the highest density? CdOs2Rh

---

Which of these has the lowest Fermi-level density of states? LiYF4

---

Among the records above, which one has the lowest density? LiAl2